Below is a geometry-optimized Y4TmRu5 structure, with properties calculated at the GGA-PBE level.

The space group is P4/mmm (No. 123) and the conventional cell measures 3.403, 3.403 and 16.979 Å, with angles of 90.00, 90.00 and 90.00 degrees. The distinct sites, in fractional coordinates, are Y at (0.000, 0.000, 0.101), Y at (0.000, 0.000, 0.302), Tm at (0.000, 0.000, 0.500), Ru at (0.500, 0.500, 0.000), Ru at (0.500, 0.500, 0.201) and Ru at (0.500, 0.500, 0.403).

For the energy, the calculation gives -7.972 eV/atom. The calculated formation energy is -29 kJ per mole of atoms.



Below is a geometry-optimized DyZnCd structure, with properties calculated at the GGA-PBE level.

The space group is Pmma (No. 51) and the conventional cell measures 4.712, 3.482 and 8.220 Å, with angles of 90.00, 90.00 and 90.00 degrees. The distinct sites, in fractional coordinates, are Dy at (0.250, 0.000, 0.229), Zn at (0.250, 0.500, 0.923) and Cd at (0.250, 0.500, 0.592).

For the energy, the calculation gives -2.590 eV/atom. The calculated formation energy is -31 kJ per mole of atoms.



Below is a geometry-optimized Cu2ReAu structure, with properties calculated at the GGA-PBE level.

The space group is P4/mmm (No. 123) and the conventional cell measures 4.633, 4.633 and 2.667 Å, with angles of 90.00, 90.00 and 90.00 degrees. The distinct sites, in fractional coordinates, are Cu at (0.000, 0.500, 0.000), Re at (0.000, 0.000, 0.500) and Au at (0.500, 0.500, 0.500).

For the energy, the calculation gives -5.561 eV/atom. The calculated formation energy is 40 kJ per mole of atoms. The relative energy among the computed polymorphs is 0.837 eV per formula unit.



Below is a geometry-optimized Ce2Co2B3 structure, with properties calculated at the GGA-PBE level.

The space group is C2/m (No. 12) and the conventional cell measures 9.965, 3.771 and 5.520 Å, with angles of 90.00, 118.64 and 90.00 degrees. The distinct sites, in fractional coordinates, are Ce at (0.136, 0.000, 0.304), Co at (0.179, 0.000, 0.835), B at (0.000, 0.500, 0.500) and B at (0.102, 0.500, 0.847).

For the energy, the calculation gives -6.840 eV/atom. The calculated formation energy is -24 kJ per mole of atoms.



Copy entry 1 word for word.
Below is a geometry-optimized Y4TmRu5 structure, with properties calculated at the GGA-PBE level.

The space group is P4/mmm (No. 123) and the conventional cell measures 3.403, 3.403 and 16.979 Å, with angles of 90.00, 90.00 and 90.00 degrees. The distinct sites, in fractional coordinates, are Y at (0.000, 0.000, 0.101), Y at (0.000, 0.000, 0.302), Tm at (0.000, 0.000, 0.500), Ru at (0.500, 0.500, 0.000), Ru at (0.500, 0.500, 0.201) and Ru at (0.500, 0.500, 0.403).

For the energy, the calculation gives -7.972 eV/atom. The calculated formation energy is -29 kJ per mole of atoms.



Q: Among the records above, which one has the highest energy?
A: DyZnCd



Q: What is the energy in the first record?
A: -7.972 eV/atom



Q: calculated formation energy of number 2 (DyZnCd)?
A: -31 kJ per mole of atoms